Record 1
The following is a DFT calculation (PBE-GGA) of a relaxed structure of Pm2Pr3Zn3.

Results
- space-group type = Immm (71)

Cell: 3.7502 5.3788 11.5283 Å, 103.49 99.36 90.00°
Sites, in units of the cell vectors:
Pm  0.7294  0.2294  0.4588
Pm  0.2706  0.7706  0.5412
Pr  0.6172  0.6172  0.2343
Pr  0.3828  0.3828  0.7657
Pr  0.5000  0.0000  0.0000
Zn  0.1168  0.1168  0.2337
Zn  0.0000  0.5000  0.0000
Zn  0.8832  0.8832  0.7663

***

Record 2
The following is a DFT calculation (PBE-GGA) of a relaxed structure of Pm3PrZn.

Results
- space-group type = C2/m (12)
- E above lowest polymorph (meV per atom) = 87

Cell: 7.6660 7.6660 7.5260 Å, 104.12 116.72 108.60°
Sites, in units of the cell vectors:
Pm  0.8383  0.0944  0.3215
Pm  0.2272  0.4832  0.3215
Pm  0.7728  0.5168  0.6785
Pm  0.6972  0.4272  0.1244
Pm  0.1617  0.9056  0.6785
Pm  0.3028  0.5728  0.8756
Pr  0.7361  0.0491  0.7851
Pr  0.2639  0.9509  0.2149
Zn  0.6382  0.7372  0.3754
Zn  0.3618  0.2628  0.6246

***

no.,energy of formation from the pure elements (eV per formula unit),spin magnetization (μB/f.u.)
1,-1.75,0.00
2,0.27,0.00